# NiRhIO2, relaxed, DFT PBEsol
data_NiRhIO2
_chemical_formula_sum 'Ni1 Rh1 I1 O2'
_cell_length_a 3.645
_cell_length_b 3.645
_cell_length_c 7.431
_cell_angle_alpha 90.00
_cell_angle_beta 90.00
_cell_angle_gamma 90.00
_symmetry_space_group_name_H-M 'P 1'
_symmetry_Int_Tables_number 1
loop_
_symmetry_equiv_pos_as_xyz
'x,y,z'
loop_
_atom_site_label
_atom_site_type_symbol
_atom_site_fract_x
_atom_site_fract_y
_atom_site_fract_z
Ni1 Ni 0.500 0.500 0.500
O1 O 0.500 0.000 0.000
O2 O 0.000 0.500 0.000
I1 I 0.000 0.000 0.500
Rh1 Rh 0.000 0.000 0.000
# energy relative to the elements, uncorrected	14	meV per atom
# symmetry	No. 123
# raw total energy	-26.49	eV/cell
# magnetic moment	0.434	μB per formula unit